## A
Below is an optimized crystal structure of CoMoAu2, with properties calculated at the PBE-GGA level.

Values from the calculation:
Density   14.68 g/cm3
DOS(E_F)   0.975 states/eV per atom
M_tot   1.2 Bohr magnetons per cell

The structure in extended XYZ format:
```
4
Lattice="-4.666 -1.003 -0.526 -0.894 -0.417 -4.699 3.359 -2.055 2.747" Properties=species:S:1:pos:R:3 pbc="T T T"
Au 0.000 0.000 0.000
Au -0.158 -1.591 -2.282
Co -2.780 -0.710 -2.612
Mo -2.044 -1.884 -0.195
```


## B
Below is an optimized crystal structure of CoMoAu2, with properties calculated at the PBE-GGA level.

Values from the calculation:
Density   14.46 g/cm3
DOS(E_F)   1.145 states/eV per atom
M_tot   1.1 Bohr magnetons per cell

The structure in extended XYZ format:
```
4
Lattice="4.467 0.000 0.000 2.234 3.869 0.000 2.234 1.290 3.647" Properties=species:S:1:pos:R:3 pbc="T T T"
Au 0.000 0.000 0.000
Au 2.234 1.290 0.912
Co 4.467 2.579 1.824
Mo 6.701 3.869 2.736
```


Quick look at relative energies in meV per atom: A 0; B 85.